Material: La2ReF2
Method: DFT, PBE
State: optimized geometry

The structure belongs to space group I4/mmm (No. 139); the cell edges are 5.1871, 5.1871 and 7.3300 Å and the angles 90.00°, 90.00° and 90.00°. Symmetry generates all atoms from La at (0.0000, 0.5000, 0.2500), Re at (0.0000, 0.0000, 0.0000) and F at (0.0000, 0.0000, 0.2981).

The calculation puts the formation energy without anion corrections at -1446 meV/atom. The excess energy over the best structure of this formula in the dataset comes out at 34 meV/atom. The calculation puts the volume at 197.2 Å³ per cell.

Material: La2ReF
Method: DFT, PBE
State: optimized geometry

The structure belongs to space group I-42d (No. 122); the cell edges are 5.6873, 5.6873 and 13.4947 Å and the angles 90.00°, 90.00° and 90.00°. Symmetry generates all atoms from La at (0.2404, 0.2500, 0.1250), Re at (0.0000, 0.0000, 0.5000) and F at (0.0000, 0.0000, 0.0000).

The calculation puts the formation energy without anion corrections at -809 meV/atom. The excess energy over the best structure of this formula in the dataset comes out at 0 meV/atom. The calculation puts the volume at 436.5 Å³ per cell.